Entry from the Alexandria database: a geometry-optimized Eu3Sc2Fe3O12 structure (PBE with a Hubbard U).

The value obtained for the total magnetization is 1.650 μB/atom. The density of states at the Fermi level comes out at 19.826 states/eV/f.u. The uncorrected energy is -8.49 eV per atom.

The structure belongs to space group Ia-3d (No. 230); the cell edges are 12.840, 12.840 and 12.840 Å and the angles 90.00°, 90.00° and 90.00°. The distinct sites, in fractional coordinates, are Eu at (0.000, 0.250, 0.125), Sc at (0.000, 0.000, 0.000), Fe at (0.000, 0.250, 0.375) and O at (0.029, 0.056, 0.653).